(1)
Here is an optimized crystal structure of USn4 from the Alexandria database. Energies are from PBE.

Results
ΔH_f (0 K) (kJ/mol of atoms): 84.3
Calculated total energy (eV per cell): -22.93
Total moment (μB/atom): 0.5588

Cell lengths 5.7740, 5.7740, 5.7740 Å; angles 90.00, 90.00, 90.00 degrees
Space group Pm-3m (No. 221)
Inequivalent atoms, fractional coordinates:
U (0.0000, 0.0000, 0.0000) (multiplicity 1)
Sn (0.0000, 0.0000, 0.5000) (multiplicity 3)
Sn (0.5000, 0.5000, 0.5000) (multiplicity 1)


(2)
Here is an optimized crystal structure of Dy6ZnRu from the Alexandria database. Energies are from PBE.

Results
ΔH_f (0 K) (kJ/mol of atoms): -15.5
Calculated total energy (eV per cell): -78.89
Total moment (μB/atom): 0.0003

Cell lengths 4.9622, 4.9622, 17.2608 Å; angles 90.00, 90.00, 90.00 degrees
Space group I4/mmm (No. 139)
Inequivalent atoms, fractional coordinates:
Dy (0.0000, 0.0000, 0.2492) (multiplicity 4)
Dy (0.0000, 0.5000, 0.0971) (multiplicity 8)
Zn (0.0000, 0.0000, 0.0000) (multiplicity 2)
Ru (0.0000, 0.0000, 0.5000) (multiplicity 2)


(3)
Here is an optimized crystal structure of Y2CoHg2 from the Alexandria database. Energies are from PBE.

Results
ΔH_f (0 K) (kJ/mol of atoms): -7.1
Calculated total energy (eV per cell): -42.01
Total moment (μB/atom): 0.1948

Cell lengths 7.2697, 7.2697, 4.5020 Å; angles 90.00, 90.00, 90.00 degrees
Space group P4/mbm (No. 127)
Inequivalent atoms, fractional coordinates:
Y (0.1717, 0.3283, 0.0000) (multiplicity 4)
Co (0.0000, 0.0000, 0.5000) (multiplicity 2)
Hg (0.1412, 0.6412, 0.5000) (multiplicity 4)


(4)
Here is an optimized crystal structure of K2MnInAu from the Alexandria database. Energies are from PBE.

Results
ΔH_f (0 K) (kJ/mol of atoms): 44.2
Calculated total energy (eV per cell): -15.09
Total moment (μB/atom): 0.8557

Cell lengths 6.2404, 6.2404, 5.2621 Å; angles 90.00, 90.00, 90.00 degrees
Space group P4/mmm (No. 123)
Inequivalent atoms, fractional coordinates:
K (0.0000, 0.5000, 0.0000) (multiplicity 2)
Mn (0.0000, 0.0000, 0.5000) (multiplicity 1)
In (0.5000, 0.5000, 0.5000) (multiplicity 1)
Au (0.5000, 0.5000, 0.0000) (multiplicity 1)


(5)
Here is an optimized crystal structure of MgHg2Pb from the Alexandria database. Energies are from PBE.

Results
ΔH_f (0 K) (kJ/mol of atoms): -8.5
Calculated total energy (eV per cell): -6.26
Total moment (μB/atom): 0.0000

Cell lengths 3.5513, 3.6672, 7.6466 Å; angles 90.00, 90.99, 90.00 degrees
Space group P2/m (No. 10)
Inequivalent atoms, fractional coordinates:
Mg (0.0000, 0.0000, 0.0000) (multiplicity 1)
Hg (0.5005, 0.5000, 0.2150) (multiplicity 2)
Pb (0.0000, 0.0000, 0.5000) (multiplicity 1)


(6)
Here is an optimized crystal structure of Sr2Ge2Te from the Alexandria database. Energies are from PBE.

Results
Relative energy among the computed polymorphs (meV/atom): 305.1
Calculated total energy (eV per cell): -36.10
Total moment (μB/atom): 0.0000
Raw formation energy (meV/atom): -462

Cell lengths 6.1581, 6.1581, 8.5828 Å; angles 90.00, 90.00, 90.00 degrees
Space group I4/mmm (No. 139)
Inequivalent atoms, fractional coordinates:
Sr (0.0000, 0.5000, 0.2500) (multiplicity 4)
Ge (0.0000, 0.0000, 0.1369) (multiplicity 4)
Te (0.0000, 0.0000, 0.5000) (multiplicity 2)


(7)
Here is an optimized crystal structure of PuUSbAs from the Alexandria database. Energies are from PBE.

Results
Calculated total energy (eV per cell): -36.64
Total moment (μB/atom): 1.9573
Raw formation energy (meV/atom): -563

Cell lengths 4.2854, 4.2854, 6.0142 Å; angles 90.00, 90.00, 90.00 degrees
Space group P4/mmm (No. 123)
Inequivalent atoms, fractional coordinates:
Pu (0.0000, 0.0000, 0.0000) (multiplicity 1)
U (0.5000, 0.5000, 0.5000) (multiplicity 1)
Sb (0.0000, 0.0000, 0.5000) (multiplicity 1)
As (0.5000, 0.5000, 0.0000) (multiplicity 1)


(8)
Here is an optimized crystal structure of Sr2ScPd2O6 from the Alexandria database. Energies are from PBE.

Results
Calculated total energy (eV per cell): -205.17
Total moment (μB/atom): 0.0000
Raw formation energy (meV/atom): -1687

Cell lengths 6.0151, 6.0151, 16.6247 Å; angles 90.00, 90.00, 120.00 degrees
Space group R-3m (No. 166, hexagonal axes)
Inequivalent atoms, fractional coordinates:
Sr (0.0000, 0.0000, 0.2107) (multiplicity 6)
Sc (0.0000, 0.0000, 0.0000) (multiplicity 3)
Pd (0.0000, 0.0000, 0.4109) (multiplicity 6)
O (0.0414, 0.5207, 0.7544) (multiplicity 18)


Please write out number 3 again, unchanged.
Here is an optimized crystal structure of Y2CoHg2 from the Alexandria database. Energies are from PBE.

Results
ΔH_f (0 K) (kJ/mol of atoms): -7.1
Calculated total energy (eV per cell): -42.01
Total moment (μB/atom): 0.1948

Cell lengths 7.2697, 7.2697, 4.5020 Å; angles 90.00, 90.00, 90.00 degrees
Space group P4/mbm (No. 127)
Inequivalent atoms, fractional coordinates:
Y (0.1717, 0.3283, 0.0000) (multiplicity 4)
Co (0.0000, 0.0000, 0.5000) (multiplicity 2)
Hg (0.1412, 0.6412, 0.5000) (multiplicity 4)


Question: The lowest calculated total energy belongs to which entry?
Answer: Sr2ScPd2O6